# Er2Tm3Co2 GGA-PBE relaxed
data_Er2Tm3Co2
_chemical_formula_sum 'Er4 Tm6 Co4'
_cell_length_a 11.7857
_cell_length_b 3.6180
_cell_length_c 8.7136
_cell_angle_alpha 90.00
_cell_angle_beta 116.36
_cell_angle_gamma 90.00
_symmetry_space_group_name_H-M 'C 1 2/m 1'
_symmetry_Int_Tables_number 12
loop_
_symmetry_equiv_pos_as_xyz
'x,y,z'
'-x,-y,-z'
'-x,y,-z'
'x,-y,z'
'x+1/2,y+1/2,z'
'-x+1/2,-y+1/2,-z'
'-x+1/2,y+1/2,-z'
'x+1/2,-y+1/2,z'
loop_
_atom_site_label
_atom_site_type_symbol
_atom_site_fract_x
_atom_site_fract_y
_atom_site_fract_z
Er1 Er 0.1707 0.0000 0.3041
Tm1 Tm 0.0000 0.5000 0.5000
Tm2 Tm 0.1184 0.5000 0.9285
Co1 Co 0.1772 0.0000 0.7394
# - Energy of formation from the pure elements: -0.200 eV per atom
# - Size of the total moment: 0.000 μB per atom